# Te3C

Te3C after structural relaxation (PBE, Alexandria via LeMat-Bulk).

Values from the calculation:
Energy relative to the lowest polymorph listed for this composition: 294 meV/atom
Energy relative to the elements, uncorrected: 1.0985 eV per atom
Calculated volume: 105.2 Å³/cell

Cell: 3.6458 3.5058 8.2337 Å, 90.00 90.00 90.00°
Atoms (fractional coordinates):
C1 0.0000 0.0000 0.0408
Te1 0.5000 0.0000 0.5769
Te2 0.5000 0.5000 0.8432
Te3 0.0000 0.5000 0.2057